# K2ScRu (PBE, relaxed)
# - mass density (g cm⁻³) = 3.614
# - formation energy from the elements (eV/atom) = 0.864
# - ΔE to the lowest computed polymorph (meV/atom) = 582
# - DOS at the Fermi energy (states/eV/atom) = 0.813
data_K2ScRu
_chemical_formula_sum 'K2 Sc1 Ru1'
_space_group_name_H-M_alt 'P 1'
_space_group_IT_number 1
_cell_length_a 4.115
_cell_length_b 4.115
_cell_length_c 6.084
_cell_angle_alpha 90.00
_cell_angle_beta 90.00
_cell_angle_gamma 90.00
loop_
_space_group_symop_operation_xyz
'x,y,z'
loop_
_atom_site_label
_atom_site_fract_x
_atom_site_fract_y
_atom_site_fract_z
_atom_site_occupancy
K1 0.000 0.500 0.000 1
K2 0.500 0.000 0.000 1
Sc1 0.000 0.000 0.500 1
Ru1 0.500 0.500 0.500 1